Computed, not measured: CsTe3WAu after structural relaxation at the PBE-GGA level of DFT.

Properties
- magnetization (μB per formula unit) = 2.0
- total energy (eV per atom) = -4.49

Structure (POSCAR):
```
CsTe3WAu
1.0
10.9665 0.0000 0.0000
0.0000 2.0895 8.5815
0.0000 -2.0895 8.5815
Au Cs Te W
2 2 6 2
direct
0.5000 0.0479 0.0479 Au
0.0000 0.9521 0.9521 Au
0.0000 0.2621 0.2621 Cs
0.5000 0.7379 0.7379 Cs
0.2752 0.1098 0.1098 Te
0.7248 0.1098 0.1098 Te
0.5000 0.4382 0.4382 Te
0.0000 0.5618 0.5618 Te
0.2248 0.8902 0.8902 Te
0.7752 0.8902 0.8902 Te
0.2500 0.5000 0.5000 W
0.7500 0.5000 0.5000 W
```